B7C (PBE, relaxed); ΔE_f = 0.3302 eV per atom; E_tot = -6.666 eV per atom; crystal system = monoclinic; relative energy among the computed polymorphs = 0.0 meV/atom; calculated volume = 63.1 Å³ per cell
1.0
4.146 -1.421 0.000
4.146 1.421 0.000
-0.429 0.000 5.355
B C
7 1
direct
0.000 0.000 0.000
0.159 0.159 0.808
0.290 0.290 0.607
0.504 0.504 0.209
0.638 0.638 0.022
0.797 0.797 0.843
0.963 0.963 0.618
0.436 0.436 0.462